No. 1
A geometry-optimized La2Pr3Ho8 structure. Source: Alexandria, functional PBE.

Properties
Energy relative to the elements, eV per atom: 0.128
Density, g/cm3: 7.51
Magnetization, μB/f.u.: 0.00

Unit cell a=7.0968 b=8.4694 c=8.5963 alpha=62.99 beta=89.30 gamma=77.22
Closest atoms and distances in Å follow each position.
Element x y z (fractional)
La1 0.1708 0.3470 0.4380  5 Ho 3.36-3.66, 4 Pr 3.51-3.69, 1 La 3.66
La2 0.8292 0.6530 0.5620  5 Ho 3.36-3.66, 4 Pr 3.51-3.69, 1 La 3.66
Pr1 0.0000 0.5000 0.0000  4 Ho 3.26-3.52, 2 La 3.51
Pr2 0.3331 0.6414 0.5921  7 Ho 3.55-3.76, 3 La 3.55-3.69, 1 Pr 3.83
Pr3 0.6669 0.3586 0.4079  7 Ho 3.55-3.76, 3 La 3.55-3.69, 1 Pr 3.83
Ho1 0.0103 0.9568 0.7229  7 Ho 3.36-3.64, 3 Pr 3.52-3.69, 1 La 3.53
Ho2 0.2003 0.1973 0.8738  1 Pr 3.26, 7 Ho 3.30-3.63, 1 La 3.36
Ho3 0.3052 0.7508 0.1257  6 Ho 3.30-3.64, 2 Pr 3.55-3.68, 1 La 3.59
Ho4 0.4724 0.0594 0.2698  7 Ho 3.43-3.76, 2 La 3.61-3.66, 2 Pr 3.71-3.75
Ho5 0.5276 0.9406 0.7302  7 Ho 3.43-3.76, 2 La 3.61-3.66, 2 Pr 3.71-3.75
Ho6 0.6948 0.2492 0.8743  6 Ho 3.30-3.64, 2 Pr 3.55-3.68, 1 La 3.59
Ho7 0.7997 0.8027 0.1262  1 Pr 3.26, 7 Ho 3.30-3.63, 1 La 3.36
Ho8 0.9897 0.0432 0.2771  7 Ho 3.36-3.64, 3 Pr 3.52-3.69, 1 La 3.53

***

No. 2
A geometry-optimized LiGdVTc structure. Source: Alexandria, functional PBE.

Properties
Energy relative to the elements, eV per atom: 0.193
Density, g/cm3: 7.48
Magnetization, μB/f.u.: 5.66

Unit cell a=4.6153 b=4.6153 c=4.6153 alpha=60.00 beta=60.00 gamma=60.00
Closest atoms and distances in Å follow each position.
Element x y z (fractional)
Li1 0.0000 0.0000 0.0000  4 V 2.83, 4 Gd 2.83
Gd1 0.2500 0.2500 0.2500  4 Tc 2.83, 4 Li 2.83
V1 0.7500 0.7500 0.7500  4 Li 2.83, 4 Tc 2.83
Tc1 0.5000 0.5000 0.5000  4 V 2.83, 4 Gd 2.83

***

No. 3
A geometry-optimized MnAgPIrBr structure. Source: Alexandria, functional PBE.

Properties
Formation energy without anion corrections, eV/atom: 0.054
Density, g/cm3: 6.57
Magnetization, μB/f.u.: 3.52

Unit cell a=5.3483 b=3.6227 c=6.0854 alpha=90.00 beta=92.50 gamma=90.00
Closest atoms and distances in Å follow each position.
Element x y z (fractional)
Mn1 0.0000 0.0000 0.0000  2 P 2.35, 1 Ir 2.62, 1 Br 2.63
Ag1 0.2783 0.5000 0.2607  2 Mn 2.79, 2 Br 2.84, 2 Ir 2.85, 1 P 2.93
P1 0.7204 0.5000 0.9917  2 Ir 2.21, 2 Mn 2.35
Ir1 0.4853 0.0000 0.9559  2 P 2.21
Br1 0.1849 0.0000 0.6071  1 Ir 2.61, 1 Mn 2.63, 2 Ag 2.84

***

No. 4
A geometry-optimized Lu2TeRu structure. Source: Alexandria, functional PBE.

Properties
Formation energy without anion corrections, eV/atom: -0.719
Density, g/cm3: 10.68
Magnetization, μB/f.u.: 0.00

Unit cell a=3.5034 b=3.5034 c=7.3291 alpha=90.00 beta=90.00 gamma=90.00
Closest atoms and distances in Å follow each position.
Element x y z (fractional)
Lu1 0.0000 0.0000 0.2191  4 Ru 2.95, 1 Lu 3.21, 4 Te 3.22
Lu2 0.0000 0.0000 0.7809  4 Ru 2.95, 1 Lu 3.21, 4 Te 3.22
Te1 0.5000 0.5000 0.5000  8 Lu 3.22, 4 Te 3.50
Ru1 0.5000 0.5000 0.0000  8 Lu 2.95

***

No. 5
A geometry-optimized Cs3AlRh structure. Source: Alexandria, functional PBE.

Properties
Energy relative to the elements, eV per atom: 0.718
Density, g/cm3: 3.71
Magnetization, μB/f.u.: 1.79

Unit cell a=6.1849 b=6.1849 c=6.1849 alpha=90.00 beta=90.00 gamma=90.00
Closest atoms and distances in Å follow each position.
Element x y z (fractional)
Cs1 0.0000 0.0000 0.5000  2 Rh 3.09
Cs2 0.0000 0.5000 0.0000  2 Rh 3.09
Cs3 0.5000 0.0000 0.0000  2 Rh 3.09
Al1 0.5000 0.5000 0.5000  12 Cs 4.37
Rh1 0.0000 0.0000 0.0000  6 Cs 3.09

***

No. 6
A geometry-optimized Y2Mg2Ga structure. Source: Alexandria, functional PBE.

Properties
Energy relative to the elements, eV per atom: -0.141
Density, g/cm3: 3.88
Magnetization, μB/f.u.: 0.85

Unit cell a=7.1406 b=7.1406 c=4.9685 alpha=90.00 beta=90.00 gamma=90.00
Closest atoms and distances in Å follow each position.
Element x y z (fractional)
Y1 0.1712 0.3288 0.0000  6 Mg 3.14-3.33, 1 Y 3.46
Y2 0.3288 0.8288 0.0000  6 Mg 3.14-3.33, 1 Y 3.46
Y3 0.6712 0.1712 0.0000  6 Mg 3.14-3.33, 1 Y 3.46
Y4 0.8288 0.6712 0.0000  6 Mg 3.14-3.33, 1 Y 3.46
Mg1 0.1386 0.6386 0.5000  2 Ga 2.76, 1 Mg 2.80
Mg2 0.3614 0.1386 0.5000  2 Ga 2.76, 1 Mg 2.80
Mg3 0.6386 0.8614 0.5000  2 Ga 2.76, 1 Mg 2.80
Mg4 0.8614 0.3614 0.5000  2 Ga 2.76, 1 Mg 2.80
Ga1 0.0000 0.0000 0.5000  4 Mg 2.76
Ga2 0.5000 0.5000 0.5000  4 Mg 2.76

***

Look up the magnetization of the first one.
0.00 μB/f.u.

***

Among the records above, which one has the lowest density?
Cs3AlRh

***

Number 1 is which compound?
La2Pr3Ho8